Entry 1:
# HPd3Pb GGA-PBE optimized geometry
data_HPd3Pb
_chemical_formula_sum 'H4 Pd12 Pb4'
_cell_length_a 17.8218
_cell_length_b 4.0143
_cell_length_c 4.2155
_cell_angle_alpha 90.00
_cell_angle_beta 103.21
_cell_angle_gamma 90.00
_symmetry_space_group_name_H-M 'C 1 2/m 1'
_symmetry_Int_Tables_number 12
_symmetry_space_group_name_Hall '-C 2y'
loop_
_atom_site_label
_atom_site_type_symbol
_atom_site_fract_x
_atom_site_fract_y
_atom_site_fract_z
H1 H 0.1838 0.0000 0.3789
Pd1 Pd 0.0624 0.0000 0.3104
Pd2 Pd 0.1895 0.0000 0.9404
Pd3 Pd 0.1921 0.5000 0.4404
Pb1 Pb 0.0765 0.5000 0.8235
# DOS(E_F): 5.10 states/eV per cell
# calculated volume: 14.7 A^3/atom
# DFT total energy: -4.70 eV per atom
# relative energy among the computed polymorphs: 49 meV/atom

---

Entry 2:
# HPd3Pb GGA-PBE optimized geometry
data_HPd3Pb
_chemical_formula_sum 'H1 Pd3 Pb1'
_cell_length_a 5.1631
_cell_length_b 5.1631
_cell_length_c 5.1631
_cell_angle_alpha 90.00
_cell_angle_beta 90.00
_cell_angle_gamma 90.00
_symmetry_space_group_name_H-M 'P m -3 m'
_symmetry_Int_Tables_number 221
_symmetry_space_group_name_Hall '-P 4 2 3'
loop_
_atom_site_label
_atom_site_type_symbol
_atom_site_fract_x
_atom_site_fract_y
_atom_site_fract_z
H1 H 0.0000 0.0000 0.0000
Pd1 Pd 0.0000 0.5000 0.5000
Pb1 Pb 0.5000 0.5000 0.5000
# DOS(E_F): 4.97 states/eV per cell
# calculated volume: 27.5 A^3/atom
# DFT total energy: -3.24 eV per atom
# relative energy among the computed polymorphs: 1515 meV/atom

---

Entry 3:
# HPd4Pb2 GGA-PBE optimized geometry
data_HPd4Pb2
_chemical_formula_sum 'H2 Pd8 Pb4'
_cell_length_a 4.0745
_cell_length_b 4.0745
_cell_length_c 14.2754
_cell_angle_alpha 90.00
_cell_angle_beta 90.00
_cell_angle_gamma 90.00
_symmetry_space_group_name_H-M 'I 4/m m m'
_symmetry_Int_Tables_number 139
_symmetry_space_group_name_Hall '-I 4 2'
loop_
_atom_site_label
_atom_site_type_symbol
_atom_site_fract_x
_atom_site_fract_y
_atom_site_fract_z
H1 H 0.0000 0.0000 0.0000
Pd1 Pd 0.0000 0.0000 0.1417
Pd2 Pd 0.0000 0.5000 0.0000
Pb1 Pb 0.0000 0.0000 0.3400
# DOS(E_F): 9.77 states/eV per cell
# calculated volume: 16.9 A^3/atom
# DFT total energy: -4.69 eV per atom
# relative energy among the computed polymorphs: 10 meV/atom

---

Entry 4:
# H4Pd12Pb GGA-PBE optimized geometry
data_H4Pd12Pb
_chemical_formula_sum 'H8 Pd24 Pb2'
_cell_length_a 7.6704
_cell_length_b 7.6704
_cell_length_c 7.6704
_cell_angle_alpha 90.00
_cell_angle_beta 90.00
_cell_angle_gamma 90.00
_symmetry_space_group_name_H-M 'I m -3'
_symmetry_Int_Tables_number 204
_symmetry_space_group_name_Hall '-I 2 2 3'
loop_
_atom_site_label
_atom_site_type_symbol
_atom_site_fract_x
_atom_site_fract_y
_atom_site_fract_z
H1 H 0.2500 0.2500 0.2500
Pd1 Pd 0.0000 0.1864 0.3136
Pb1 Pb 0.0000 0.0000 0.0000
# DOS(E_F): 31.98 states/eV per cell
# calculated volume: 13.3 A^3/atom
# DFT total energy: -4.68 eV per atom

---

Entry 5:
# HPd8Pb2 GGA-PBE optimized geometry
data_HPd8Pb2
_chemical_formula_sum 'H2 Pd16 Pb4'
_cell_length_a 6.5044
_cell_length_b 13.2471
_cell_length_c 4.8402
_cell_angle_alpha 90.00
_cell_angle_beta 121.95
_cell_angle_gamma 90.00
_symmetry_space_group_name_H-M 'C 1 m 1'
_symmetry_Int_Tables_number 8
_symmetry_space_group_name_Hall 'C -2y'
loop_
_atom_site_label
_atom_site_type_symbol
_atom_site_fract_x
_atom_site_fract_y
_atom_site_fract_z
H1 H 0.0000 0.0000 0.0000
Pd1 Pd 0.0980 0.1961 0.3544
Pd2 Pd 0.2912 0.0000 0.6303
Pd3 Pd 0.2993 0.5000 0.1495
Pd4 Pd 0.4289 0.1012 0.2281
Pd5 Pd 0.4373 0.3937 0.7275
Pb1 Pb 0.0951 0.3133 0.8569
# DOS(E_F): 9.32 states/eV per cell
# calculated volume: 16.1 A^3/atom
# DFT total energy: -4.89 eV per atom

---

Entry 6:
# HPd3Pb2 GGA-PBE optimized geometry
data_HPd3Pb2
_chemical_formula_sum 'H4 Pd12 Pb8'
_cell_length_a 12.7618
_cell_length_b 5.4379
_cell_length_c 6.3684
_cell_angle_alpha 90.00
_cell_angle_beta 105.00
_cell_angle_gamma 90.00
_symmetry_space_group_name_H-M 'C 1 2/c 1'
_symmetry_Int_Tables_number 15
_symmetry_space_group_name_Hall '-C 2yc'
loop_
_atom_site_label
_atom_site_type_symbol
_atom_site_fract_x
_atom_site_fract_y
_atom_site_fract_z
H1 H 0.0000 0.0478 0.2500
Pd1 Pd 0.0000 0.3781 0.2500
Pd2 Pd 0.1116 0.0029 0.0524
Pb1 Pb 0.1888 0.4981 0.5957
# DOS(E_F): 8.46 states/eV per cell
# calculated volume: 17.8 A^3/atom
# DFT total energy: -4.46 eV per atom
# relative energy among the computed polymorphs: 70 meV/atom

---

Entry 7:
# H2PdPb2 GGA-PBE optimized geometry
data_H2PdPb2
_chemical_formula_sum 'H4 Pd2 Pb4'
_cell_length_a 6.1062
_cell_length_b 3.5254
_cell_length_c 8.1559
_cell_angle_alpha 90.00
_cell_angle_beta 90.15
_cell_angle_gamma 90.00
_symmetry_space_group_name_H-M 'C 1 2/m 1'
_symmetry_Int_Tables_number 12
_symmetry_space_group_name_Hall '-C 2y'
loop_
_atom_site_label
_atom_site_type_symbol
_atom_site_fract_x
_atom_site_fract_y
_atom_site_fract_z
H1 H 0.1682 0.0000 0.3747
Pd1 Pd 0.0000 0.5000 0.0000
Pb1 Pb 0.1658 0.0000 0.7471
# DOS(E_F): 1.70 states/eV per cell
# calculated volume: 17.6 A^3/atom
# DFT total energy: -3.59 eV per atom
# relative energy among the computed polymorphs: 8 meV/atom

---

Entry 8:
# HPd3Pb GGA-PBE optimized geometry
data_HPd3Pb
_chemical_formula_sum 'H4 Pd12 Pb4'
_cell_length_a 9.8986
_cell_length_b 5.8054
_cell_length_c 6.8629
_cell_angle_alpha 90.00
_cell_angle_beta 132.26
_cell_angle_gamma 90.00
_symmetry_space_group_name_H-M 'C 1 m 1'
_symmetry_Int_Tables_number 8
_symmetry_space_group_name_Hall 'C -2y'
loop_
_atom_site_label
_atom_site_type_symbol
_atom_site_fract_x
_atom_site_fract_y
_atom_site_fract_z
H1 H 0.0000 0.0000 0.0000
H2 H 0.0250 0.5000 0.6218
Pd1 Pd 0.0446 0.2437 0.8073
Pd2 Pd 0.2289 0.5000 0.6662
Pd3 Pd 0.2892 0.0000 0.2996
Pd4 Pd 0.4716 0.2540 0.1674
Pb1 Pb 0.2370 0.0000 0.6797
Pb2 Pb 0.2754 0.5000 0.2922
# DOS(E_F): 6.91 states/eV per cell
# calculated volume: 14.6 A^3/atom
# DFT total energy: -4.75 eV per atom
# relative energy among the computed polymorphs: 0 meV/atom

---

Entry 9:
# H2Pd7Pb3 GGA-PBE optimized geometry
data_H2Pd7Pb3
_chemical_formula_sum 'H4 Pd14 Pb6'
_cell_length_a 4.2673
_cell_length_b 22.1433
_cell_length_c 3.9428
_cell_angle_alpha 90.00
_cell_angle_beta 90.00
_cell_angle_gamma 90.00
_symmetry_space_group_name_H-M 'C m m m'
_symmetry_Int_Tables_number 65
_symmetry_space_group_name_Hall '-C 2 2'
loop_
_atom_site_label
_atom_site_type_symbol
_atom_site_fract_x
_atom_site_fract_y
_atom_site_fract_z
H1 H 0.0000 0.0900 0.0000
Pd1 Pd 0.0000 0.0000 0.0000
Pd2 Pd 0.0000 0.0983 0.5000
Pd3 Pd 0.0000 0.1985 0.0000
Pd4 Pd 0.0000 0.4059 0.0000
Pb1 Pb 0.0000 0.3081 0.5000
Pb2 Pb 0.0000 0.5000 0.5000
# DOS(E_F): 12.20 states/eV per cell
# calculated volume: 15.5 A^3/atom
# DFT total energy: -4.71 eV per atom

---

Entry 10:
# HPd3Pb GGA-PBE optimized geometry
data_HPd3Pb
_chemical_formula_sum 'H2 Pd6 Pb2'
_cell_length_a 2.9250
_cell_length_b 5.4258
_cell_length_c 13.2315
_cell_angle_alpha 90.00
_cell_angle_beta 90.00
_cell_angle_gamma 90.00
_symmetry_space_group_name_H-M 'A m m 2'
_symmetry_Int_Tables_number 38
_symmetry_space_group_name_Hall 'A 2 -2'
loop_
_atom_site_label
_atom_site_type_symbol
_atom_site_fract_x
_atom_site_fract_y
_atom_site_fract_z
H1 H 0.0000 0.0000 0.0000
Pd1 Pd 0.0000 0.0000 0.1481
Pd2 Pd 0.5000 0.2491 0.4988
Pb1 Pb 0.5000 0.0000 0.3221
# DOS(E_F): 3.65 states/eV per cell
# calculated volume: 21.0 A^3/atom
# DFT total energy: -4.35 eV per atom
# relative energy among the computed polymorphs: 404 meV/atom

---

Entry 11:
# HPd3Pb GGA-PBE optimized geometry
data_HPd3Pb
_chemical_formula_sum 'H2 Pd6 Pb2'
_cell_length_a 6.6550
_cell_length_b 3.3892
_cell_length_c 7.1804
_cell_angle_alpha 90.00
_cell_angle_beta 112.16
_cell_angle_gamma 90.00
_symmetry_space_group_name_H-M 'P 1 21/m 1'
_symmetry_Int_Tables_number 11
_symmetry_space_group_name_Hall '-P 2yb'
loop_
_atom_site_label
_atom_site_type_symbol
_atom_site_fract_x
_atom_site_fract_y
_atom_site_fract_z
H1 H 0.2434 0.2500 0.1007
Pd1 Pd 0.0274 0.2500 0.8462
Pd2 Pd 0.3191 0.2500 0.3813
Pd3 Pd 0.3834 0.7500 0.0897
Pb1 Pb 0.2473 0.7500 0.6621
# DOS(E_F): 2.31 states/eV per cell
# calculated volume: 15.0 A^3/atom
# DFT total energy: -4.68 eV per atom
# relative energy among the computed polymorphs: 76 meV/atom

---

Entry 12:
# HPd4Pb GGA-PBE optimized geometry
data_HPd4Pb
_chemical_formula_sum 'H4 Pd16 Pb4'
_cell_length_a 7.5470
_cell_length_b 7.5470
_cell_length_c 7.5008
_cell_angle_alpha 90.00
_cell_angle_beta 90.00
_cell_angle_gamma 90.00
_symmetry_space_group_name_H-M 'I 41 m d'
_symmetry_Int_Tables_number 109
_symmetry_space_group_name_Hall 'I 4bw -2'
loop_
_atom_site_label
_atom_site_type_symbol
_atom_site_fract_x
_atom_site_fract_y
_atom_site_fract_z
H1 H 0.0000 0.0000 0.0000
Pd1 Pd 0.0000 0.3031 0.1201
Pd2 Pd 0.0000 0.3274 0.4878
Pb1 Pb 0.0000 0.0000 0.5745
# DOS(E_F): 6.81 states/eV per cell
# calculated volume: 17.8 A^3/atom
# DFT total energy: -4.48 eV per atom
# relative energy among the computed polymorphs: 335 meV/atom